Entry 1:
! Mn2IrRh PBE-GGA relaxed; values from VASP
! Spin magnetization (μB/f.u.): 8.10
! Formation energy from the elements (meV per atom): -158
! Symmetry: No. 123
&SYSTEM
  ibrav = 0, nat = 4, ntyp = 3
/
ATOMIC_SPECIES
Mn 54.94 Mn.upf
Ir 192.22 Ir.upf
Rh 102.91 Rh.upf
ATOMIC_POSITIONS angstrom
Mn 0.0000 2.1599 0.0000
Mn 2.1599 0.0000 0.0000
Ir 0.0000 0.0000 1.5048
Rh 2.1599 2.1599 1.5048
CELL_PARAMETERS angstrom
4.3199 0.0000 0.0000
0.0000 4.3199 0.0000
0.0000 0.0000 3.0096


Entry 2:
! Ce5Sn2Os PBE-GGA relaxed; values from VASP
! Spin magnetization (μB/f.u.): 5.25
! Formation energy from the elements (meV per atom): -1
! Symmetry: No. 63
&SYSTEM
  ibrav = 0, nat = 16, ntyp = 3
/
ATOMIC_SPECIES
Ce 140.12 Ce.upf
Sn 118.71 Sn.upf
Os 190.23 Os.upf
ATOMIC_POSITIONS angstrom
Ce 2.7410 7.5495 7.1624
Ce 2.7410 7.5495 10.8953
Ce 2.7410 3.7690 6.7067
Ce 2.7410 3.7690 11.3510
Ce 2.7410 3.1537 3.0096
Ce 2.7410 -3.1537 9.0289
Ce 2.7410 -3.7690 0.6875
Ce 2.7410 -3.7690 5.3318
Ce 2.7410 -7.5495 1.1432
Ce 2.7410 -7.5495 4.8761
Sn 2.7410 6.1596 1.5906
Sn 2.7410 6.1596 4.4287
Sn 2.7410 -6.1596 7.6098
Sn 2.7410 -6.1596 10.4479
Os 2.7410 5.5584 9.0289
Os 2.7410 -5.5584 3.0096
CELL_PARAMETERS angstrom
2.7410 -8.4579 0.0000
2.7410 8.4579 0.0000
0.0000 0.0000 12.0385


Entry 3:
! PtAuBr2 PBE-GGA relaxed; values from VASP
! Spin magnetization (μB/f.u.): 0.86
! Symmetry: No. 160
! Formation energy without anion corrections (eV/atom): 0.025
&SYSTEM
  ibrav = 0, nat = 4, ntyp = 3
/
ATOMIC_SPECIES
Pt 195.08 Pt.upf
Au 196.97 Au.upf
Br 79.90 Br.upf
ATOMIC_POSITIONS angstrom
Pt 0.0000 0.0000 0.0000
Au 0.0000 0.0000 6.3555
Br 0.0000 0.0000 12.6436
Br 0.0000 0.0000 17.1865
CELL_PARAMETERS angstrom
1.9143 1.1052 7.9079
-1.9143 1.1052 7.9079
0.0000 -2.2104 7.9079


Entry 4:
! CdSiP2Cl PBE-GGA relaxed; values from VASP
! Spin magnetization (μB/f.u.): 0.00
! Symmetry: No. 123
! Formation energy without anion corrections (eV/atom): 0.397
&SYSTEM
  ibrav = 0, nat = 5, ntyp = 4
/
ATOMIC_SPECIES
Cd 112.41 Cd.upf
Si 28.09 Si.upf
P 30.97 P.upf
Cl 35.45 Cl.upf
ATOMIC_POSITIONS angstrom
Cd 0.0000 0.0000 0.0000
Si 2.3132 2.3132 2.3621
P 0.0000 2.3132 2.3621
P 2.3132 0.0000 2.3621
Cl 2.3132 2.3132 0.0000
CELL_PARAMETERS angstrom
4.6265 0.0000 0.0000
0.0000 4.6265 0.0000
0.0000 0.0000 4.7242


Entry 5:
! Mn2TcCl PBE-GGA relaxed; values from VASP
! Spin magnetization (μB/f.u.): 5.22
! Symmetry: No. 225
! Formation energy without anion corrections (eV/atom): 0.868
&SYSTEM
  ibrav = 0, nat = 4, ntyp = 3
/
ATOMIC_SPECIES
Mn 54.94 Mn.upf
Tc 98.00 Tc.upf
Cl 35.45 Cl.upf
ATOMIC_POSITIONS angstrom
Mn 1.5639 1.5639 1.5639
Mn 4.6917 4.6917 4.6917
Tc 0.0000 0.0000 0.0000
Cl 3.1278 3.1278 3.1278
CELL_PARAMETERS angstrom
0.0000 3.1278 3.1278
3.1278 0.0000 3.1278
3.1278 3.1278 0.0000


Entry 6:
! Li7Mg3Au2 PBE-GGA relaxed; values from VASP
! Spin magnetization (μB/f.u.): 0.00
! Formation energy from the elements (meV per atom): -210
! Symmetry: No. 10
&SYSTEM
  ibrav = 0, nat = 12, ntyp = 3
/
ATOMIC_SPECIES
Li 6.94 Li.upf
Mg 24.30 Mg.upf
Au 196.97 Au.upf
ATOMIC_POSITIONS angstrom
Li 0.0000 0.0000 0.0000
Li -0.0217 1.5429 2.6956
Li 0.0290 1.5429 8.3625
Li 0.0786 0.0000 13.0258
Li 2.3190 0.0000 2.4430
Li 2.3686 1.5429 7.1063
Li 2.4193 1.5429 12.7732
Mg 0.0045 0.0000 5.3735
Mg 2.3415 1.5429 0.0000
Mg 2.3931 0.0000 10.0953
Au 0.0590 1.5429 10.9300
Au 2.3386 1.5429 4.5388
CELL_PARAMETERS angstrom
4.6831 0.0000 0.0000
0.0000 3.0858 0.0000
-2.2854 0.0000 15.4688


Entry 7:
! LiAlRe2 PBE-GGA relaxed; values from VASP
! Spin magnetization (μB/f.u.): 0.00
! Formation energy from the elements (meV per atom): -83
! Symmetry: No. 99
&SYSTEM
  ibrav = 0, nat = 4, ntyp = 3
/
ATOMIC_SPECIES
Li 6.94 Li.upf
Al 26.98 Al.upf
Re 186.21 Re.upf
ATOMIC_POSITIONS angstrom
Li 0.0000 0.0000 0.0000
Al 1.5351 1.5351 4.6445
Re 0.0000 0.0000 2.9277
Re 1.5351 1.5351 1.5317
CELL_PARAMETERS angstrom
3.0701 0.0000 0.0000
0.0000 3.0701 0.0000
0.0000 0.0000 6.0104


Entry 8:
! PmGa4Ni12 PBE-GGA relaxed; values from VASP
! Spin magnetization (μB/f.u.): 0.00
! Formation energy from the elements (meV per atom): 219
! Symmetry: No. 204
&SYSTEM
  ibrav = 0, nat = 17, ntyp = 3
/
ATOMIC_SPECIES
Pm 145.00 Pm.upf
Ga 69.72 Ga.upf
Ni 58.69 Ni.upf
ATOMIC_POSITIONS angstrom
Pm 0.0000 0.0000 0.0000
Ga 1.9883 1.9883 -1.9883
Ga 1.9883 -1.9883 1.9883
Ga -1.9883 1.9883 1.9883
Ga 1.9883 1.9883 1.9883
Ni 2.8379 0.0000 1.1808
Ni 5.1153 0.0000 1.1808
Ni 3.9766 2.7958 -1.1387
Ni 1.1808 2.8379 0.0000
Ni 2.7958 -1.1387 3.9766
Ni 3.9766 2.7958 1.1387
Ni 0.0000 1.1808 2.8379
Ni 1.1808 5.1153 0.0000
Ni 2.7958 1.1387 3.9766
Ni 0.0000 1.1808 5.1153
Ni -1.1387 3.9766 2.7958
Ni 1.1387 3.9766 2.7958
CELL_PARAMETERS angstrom
-3.9766 3.9766 3.9766
3.9766 -3.9766 3.9766
3.9766 3.9766 -3.9766


Entry 9:
! NbPdI2 PBE-GGA relaxed; values from VASP
! Spin magnetization (μB/f.u.): 0.00
! Symmetry: No. 225
! Formation energy without anion corrections (eV/atom): 0.442
&SYSTEM
  ibrav = 0, nat = 4, ntyp = 3
/
ATOMIC_SPECIES
Nb 92.91 Nb.upf
Pd 106.42 Pd.upf
I 126.90 I.upf
ATOMIC_POSITIONS angstrom
Nb 0.0000 0.0000 0.0000
Pd 3.5174 3.5174 3.5174
I 1.7587 1.7587 1.7587
I 5.2760 5.2760 5.2760
CELL_PARAMETERS angstrom
0.0000 3.5174 3.5174
3.5174 0.0000 3.5174
3.5174 3.5174 0.0000


Entry 10:
! Zr6Tl3In PBE-GGA relaxed; values from VASP
! Spin magnetization (μB/f.u.): 0.00
! Formation energy from the elements (meV per atom): 178
! Symmetry: No. 146
&SYSTEM
  ibrav = 0, nat = 10, ntyp = 3
/
ATOMIC_SPECIES
Zr 91.22 Zr.upf
Tl 204.38 Tl.upf
In 114.82 In.upf
ATOMIC_POSITIONS angstrom
Zr -2.9491 0.3031 4.0877
Zr -1.2337 -2.1093 6.1417
Zr 1.2121 -2.7056 4.0877
Zr -1.2098 2.1231 6.1417
Zr 1.7371 2.4025 4.0877
Zr 2.4436 -0.0138 6.1417
Tl 0.0000 0.0000 1.6641
Tl 0.0000 0.0000 4.4814
Tl 0.0000 0.0000 7.8319
In 0.0000 0.0000 10.6119
CELL_PARAMETERS angstrom
4.1680 2.4064 4.0877
-4.1680 2.4064 4.0877
0.0000 -4.8128 4.0877


Entry 11:
! Na2TiBr5 PBE-GGA relaxed; values from VASP
! Spin magnetization (μB/f.u.): 1.00
! Symmetry: No. 69
! Formation energy without anion corrections (eV/atom): -1.233
&SYSTEM
  ibrav = 0, nat = 8, ntyp = 3
/
ATOMIC_SPECIES
Na 22.99 Na.upf
Ti 47.87 Ti.upf
Br 79.90 Br.upf
ATOMIC_POSITIONS angstrom
Na 2.6900 6.9398 2.7444
Na 2.6900 6.9398 11.4561
Ti 2.6900 6.9398 7.1002
Br 0.0000 0.0000 0.0000
Br 2.6900 5.1853 5.2043
Br 2.6900 8.6944 5.2043
Br 2.6900 5.1853 8.9962
Br 2.6900 8.6944 8.9962
CELL_PARAMETERS angstrom
0.0000 6.9398 7.1002
2.6900 0.0000 7.1002
2.6900 6.9398 0.0000


Entry 12:
! AlZn2Cl8 PBE-GGA relaxed; values from VASP
! Spin magnetization (μB/f.u.): 1.00
! Symmetry: No. 2
! Formation energy without anion corrections (eV/atom): -0.997
&SYSTEM
  ibrav = 0, nat = 11, ntyp = 3
/
ATOMIC_SPECIES
Al 26.98 Al.upf
Zn 65.41 Zn.upf
Cl 35.45 Cl.upf
ATOMIC_POSITIONS angstrom
Al 0.0000 0.0000 0.0000
Zn 5.8394 3.1214 5.2643
Zn 7.8787 2.1382 3.1001
Cl 2.8996 1.7125 3.2864
Cl 4.1406 5.8557 1.6647
Cl 6.5919 3.1263 7.4796
Cl 7.2730 4.2649 3.8569
Cl 6.4451 0.9947 4.5076
Cl 7.1262 2.1334 0.8849
Cl 9.5775 -0.5960 6.6997
Cl 10.8185 3.5471 5.0780
CELL_PARAMETERS angstrom
7.1927 0.0000 0.0000
3.0038 6.5869 0.0000
3.5216 -1.3273 8.3644


- spin magnetization of number 4 (CdSiP2Cl)?
  0.00 μB/f.u.


- What is the spin magnetization in the tenth record?
  0.00 μB/f.u.


- Which value of spin magnetization does entry 10 give?
  0.00 μB/f.u.


- The highest spin magnetization belongs to which entry?
  Mn2IrRh